## Ac2Cd5Rh4 (PBE)

Data for a relaxed Ac2Cd5Rh4 crystal.

Structure (POSCAR):
```
Ac2Cd5Rh4
1.0
6.028 0.000 0.000
3.014 6.677 0.082
3.014 1.793 6.342
Rh Cd Ac
4 5 2
Cartesian
3.014 1.023 1.683
9.042 7.447 4.741
3.014 3.327 0.466
9.042 5.143 5.959
4.597 5.456 1.015
3.014 4.235 3.212
7.460 5.456 1.015
4.597 3.014 5.410
7.460 3.014 5.410
6.028 6.503 4.274
6.028 1.967 2.150
```

## Properties
The calculation puts the total energy at -4.1184 eV/atom. The calculation puts the magnetization at 0.00 μB/f.u. For the energy of formation from the pure elements, the calculation gives -282 meV/atom. As for the density of states at the Fermi level: 7.42 states/eV per cell.